Material: RePdPt
Method: DFT, PBE
State: relaxed

```
RePdPt
1.0
4.4880 -1.9157 0.0000
4.4880 1.9157 0.0000
-1.9031 0.0000 5.3158
Re Pd Pt
2 2 2
direct
0.1817 0.1817 0.3555
0.8183 0.8183 0.6445
0.5000 0.5000 0.0000
0.5000 0.5000 0.5000
0.1670 0.1670 0.8314
0.8330 0.8330 0.1686
```

As for the space-group type: C2/m (12). The value obtained for the volume is 15.23 A^3/atom. The formation energy comes out at -0.048 eV/atom. For the total magnetization, the calculation gives 0.0 μB per formula unit.

Material: RePdPt
Method: DFT, PBE
State: relaxed

```
RePdPt
1.0
-1.3837 1.3837 5.9477
1.3837 -1.3837 5.9477
1.3837 1.3837 -5.9477
Re Pd Pt
1 1 1
direct
0.0000 0.0000 0.0000
0.6601 0.6601 0.0000
0.3415 0.3415 0.0000
```

As for the space-group type: I4mm (107). The value obtained for the volume is 15.18 A^3/atom. The formation energy comes out at -0.060 eV/atom. For the total magnetization, the calculation gives 0.0 μB per formula unit.

Material: RePd3Pt
Method: DFT, PBE
State: relaxed

```
RePd3Pt
1.0
4.7577 0.0000 0.0000
0.0000 4.7577 0.0000
0.0000 0.0000 4.7577
Re Pd Pt
1 3 1
direct
0.0000 0.0000 0.0000
0.0000 0.5000 0.5000
0.5000 0.0000 0.5000
0.5000 0.5000 0.0000
0.5000 0.5000 0.5000
```

As for the space-group type: Pm-3m (221). The value obtained for the volume is 21.54 A^3/atom. The formation energy comes out at 2.043 eV/atom. For the total magnetization, the calculation gives 0.0 μB per formula unit.

Material: RePdPt
Method: DFT, PBE
State: relaxed

```
RePdPt
1.0
2.0029 -5.8404 0.0000
2.0029 5.8404 0.0000
0.0000 0.0000 3.9210
Re Pd Pt
2 2 2
direct
0.0735 0.9265 0.7500
0.9265 0.0735 0.2500
0.2531 0.7469 0.2500
0.7469 0.2531 0.7500
0.4222 0.5778 0.7500
0.5778 0.4222 0.2500
```

As for the space-group type: Cmcm (63). The value obtained for the volume is 15.29 A^3/atom. The formation energy comes out at -0.021 eV/atom. For the total magnetization, the calculation gives 0.0 μB per formula unit.

Material: RePd6Pt2
Method: DFT, PBE
State: relaxed

```
RePd6Pt2
1.0
4.9258 -2.3491 0.0000
4.9258 2.3491 0.0000
-4.3156 0.0000 6.0327
Re Pd Pt
1 6 2
direct
0.0000 0.0000 0.0000
0.1077 0.1077 0.4406
0.2169 0.2169 0.8903
0.4482 0.4482 0.7826
0.5518 0.5518 0.2174
0.7831 0.7831 0.1097
0.8923 0.8923 0.5594
0.3197 0.3197 0.3253
0.6803 0.6803 0.6747
```

As for the space-group type: C2/m (12). The value obtained for the volume is 15.51 A^3/atom. The formation energy comes out at 0.089 eV/atom. For the total magnetization, the calculation gives 0.4 μB per formula unit.

Material: RePdPt5
Method: DFT, PBE
State: relaxed

```
RePdPt5
1.0
3.8980 0.0000 0.0000
0.0000 3.8980 0.0000
0.0000 0.0000 7.6478
Re Pd Pt
1 1 5
direct
0.0000 0.0000 0.0000
0.0000 0.0000 0.5000
0.0000 0.5000 0.2236
0.0000 0.5000 0.7764
0.5000 0.0000 0.2236
0.5000 0.0000 0.7764
0.5000 0.5000 0.5000
```

As for the space-group type: P4/mmm (123). The value obtained for the volume is 16.60 A^3/atom. The formation energy comes out at 0.082 eV/atom. For the total magnetization, the calculation gives 0.0 μB per formula unit.

Among the records above, which one has the highest total magnetization? RePd6Pt2

Which of these has the highest total magnetization? RePd6Pt2